Here is crystalline TlPW2 at its relaxed geometry from the Alexandria database. Energies are from GGA-PBEsol.

abc: 5.1920 5.1920 2.9347
angles: 102.35 102.35 113.95
Last column: nearest neighbours and their distance in Å.
Element x y z (fractional)
Tl (0.0000, 0.0000, 0.0000)  4 W 2.70, 2 P 2.83, 2 Tl 2.93
P (0.5000, 0.5000, 0.0000)  4 W 2.70, 2 Tl 2.83, 2 P 2.93
W (0.0000, 0.5000, 0.5000)  2 P 2.70, 2 Tl 2.70, 4 W 2.83-2.93
W (0.5000, 0.0000, 0.5000)  2 P 2.70, 2 Tl 2.70, 4 W 2.83-2.93

## Properties
Formation energy, meV/atom: 948
Space-group type: No. 12

Here is crystalline Mg2InSb at its relaxed geometry from the Alexandria database. Energies are from GGA-PBEsol.

abc: 3.4166 4.1090 6.6139
angles: 90.00 90.36 90.00
Last column: nearest neighbours and their distance in Å.
Element x y z (fractional)
Mg (0.0005, 0.0000, 0.2516)  4 Sb 3.13-3.14, 4 In 3.14-3.15, 4 Mg 3.29-3.42
Mg (0.9995, 0.0000, 0.7484)  4 Sb 3.13-3.14, 4 In 3.14-3.15, 4 Mg 3.29-3.42
In (0.5000, 0.5000, 0.0000)  8 Mg 3.14-3.15, 2 Sb 3.31, 2 In 3.42
Sb (0.5000, 0.5000, 0.5000)  8 Mg 3.13-3.14, 2 In 3.31, 2 Sb 3.42

## Properties
Uncorrected formation energy, eV per atom: -0.152
Space-group type: No. 10

Here is crystalline KIr2Pt at its relaxed geometry from the Alexandria database. Energies are from GGA-PBEsol.

abc: 2.6285 4.1364 7.1529
angles: 90.00 90.00 90.00
Last column: nearest neighbours and their distance in Å.
Element x y z (fractional)
K (0.0000, 0.0000, 0.0000)  2 K 2.63
Ir (0.5000, 0.5000, 0.3290)  3 Ir 2.45-2.63, 4 Pt 2.74
Ir (0.5000, 0.5000, 0.6710)  3 Ir 2.45-2.63, 4 Pt 2.74
Pt (0.0000, 0.0000, 0.5000)  2 Pt 2.63, 8 Ir 2.74

## Properties
Formation energy, meV/atom: 667
Space-group type: No. 47

Here is crystalline Si3TeSe at its relaxed geometry from the Alexandria database. Energies are from GGA-PBEsol.

abc: 4.9238 4.9238 4.9238
angles: 90.00 90.00 90.00
Last column: nearest neighbours and their distance in Å.
Element x y z (fractional)
Si (0.0000, 0.0000, 0.5000)  2 Se 2.46
Si (0.0000, 0.5000, 0.0000)  2 Se 2.46
Si (0.5000, 0.0000, 0.0000)  2 Se 2.46
Te (0.5000, 0.5000, 0.5000)  12 Si 3.48
Se (0.0000, 0.0000, 0.0000)  6 Si 2.46

## Properties
Uncorrected formation energy, eV per atom: 0.915
Space-group type: No. 221

Here is crystalline BaSrIn2 at its relaxed geometry from the Alexandria database. Energies are from GGA-PBEsol.

abc: 6.8243 6.8243 6.8243
angles: 145.46 130.54 61.73
Last column: nearest neighbours and their distance in Å.
Element x y z (fractional)
Ba (0.0000, 0.0000, 0.0000)  6 In 3.57-3.64, 2 Sr 3.69
Sr (0.7002, 0.2002, 0.5000)  6 In 3.57-3.67, 2 Ba 3.69
In (0.2583, 0.7583, 0.5000)  2 In 2.93
In (0.4391, 0.4391, 0.0000)  2 In 2.93

## Properties
Formation energy, meV/atom: -386
Space-group type: No. 44

Here is crystalline MnTeOs at its relaxed geometry from the Alexandria database. Energies are from GGA-PBEsol.

abc: 4.1165 4.1165 4.1165
angles: 60.00 60.00 60.00
Last column: nearest neighbours and their distance in Å.
Element x y z (fractional)
Mn (0.0000, 0.0000, 0.0000)  4 Os 2.52, 4 Te 2.52
Te (0.2500, 0.2500, 0.2500)  4 Mn 2.52
Os (0.7500, 0.7500, 0.7500)  4 Mn 2.52

## Properties
Uncorrected formation energy, eV per atom: 0.573
Space-group type: No. 216

Here is crystalline Ge2Mo at its relaxed geometry from the Alexandria database. Energies are from GGA-PBEsol.

abc: 4.7097 4.7097 4.7097
angles: 139.05 139.05 59.30
Last column: nearest neighbours and their distance in Å.
Element x y z (fractional)
Ge (0.1621, 0.1621, 0.0000)  5 Ge 2.65-2.74, 5 Mo 2.68-2.77
Ge (0.8379, 0.8379, 0.0000)  5 Ge 2.65-2.74, 5 Mo 2.68-2.77
Mo (0.5000, 0.5000, 0.0000)  10 Ge 2.68-2.77

## Properties
Formation energy, meV/atom: -234
Space-group type: No. 139

Here is crystalline TaCu2Mo at its relaxed geometry from the Alexandria database. Energies are from GGA-PBEsol.

abc: 4.6860 4.6860 4.6860
angles: 132.09 132.09 70.09
Last column: nearest neighbours and their distance in Å.
Element x y z (fractional)
Ta (0.0000, 0.0000, 0.0000)  4 Mo 2.69, 8 Cu 2.70
Cu (0.2500, 0.7500, 0.5000)  4 Cu 2.69, 4 Ta 2.70, 4 Mo 2.70
Cu (0.7500, 0.2500, 0.5000)  4 Cu 2.69, 4 Ta 2.70, 4 Mo 2.70
Mo (0.5000, 0.5000, 0.0000)  4 Ta 2.69, 8 Cu 2.70

## Properties
Formation energy, meV/atom: 146
Space-group type: No. 139

Here is crystalline Co2CuTc at its relaxed geometry from the Alexandria database. Energies are from GGA-PBEsol.

abc: 2.5226 3.6329 4.9853
angles: 90.00 90.00 90.00
Last column: nearest neighbours and their distance in Å.
Element x y z (fractional)
Co (0.0000, 0.0000, 0.0000)  2 Cu 2.44-2.55, 4 Tc 2.50, 6 Co 2.52-2.55
Co (0.5000, 0.5000, 0.2550)  2 Tc 2.43-2.56, 4 Cu 2.50, 6 Co 2.52-2.55
Cu (0.0000, 0.0000, 0.4893)  6 Co 2.44-2.55, 2 Cu 2.52, 4 Tc 2.61
Tc (0.5000, 0.5000, 0.7682)  6 Co 2.43-2.56, 2 Tc 2.52, 4 Cu 2.61

## Properties
Formation energy, meV/atom: 181
Space-group type: No. 25

Here is crystalline Cs2YTlBr6 at its relaxed geometry from the Alexandria database. Energies are from GGA-PBEsol.

abc: 8.2886 8.2886 8.2886
angles: 60.00 60.00 60.00
Last column: nearest neighbours and their distance in Å.
Element x y z (fractional)
Cs (0.2500, 0.2500, 0.2500)  12 Br 4.15
Cs (0.7500, 0.7500, 0.7500)  12 Br 4.15
Y (0.0000, 0.0000, 0.0000)  6 Br 2.75
Tl (0.5000, 0.5000, 0.5000)  6 Br 3.11
Br (0.2349, 0.2349, 0.7651)  1 Y 2.75
Br (0.2349, 0.7651, 0.2349)  1 Y 2.75
Br (0.2349, 0.7651, 0.7651)  1 Y 2.75
Br (0.7651, 0.2349, 0.2349)  1 Y 2.75
Br (0.7651, 0.2349, 0.7651)  1 Y 2.75
Br (0.7651, 0.7651, 0.2349)  1 Y 2.75

## Properties
Uncorrected formation energy, eV per atom: -1.640
Space-group type: No. 225

Here is crystalline Y2HgSe2 at its relaxed geometry from the Alexandria database. Energies are from GGA-PBEsol.

abc: 6.6770 6.6770 6.6770
angles: 136.16 136.16 63.74
Last column: nearest neighbours and their distance in Å.
Element x y z (fractional)
Y (0.2500, 0.7500, 0.5000)  4 Se 2.76
Y (0.7500, 0.2500, 0.5000)  4 Se 2.76
Hg (0.0000, 0.0000, 0.0000)  8 Y 3.78, 10 Se 3.89-4.03
Se (0.3552, 0.3552, 0.0000)  4 Y 2.76
Se (0.6448, 0.6448, 0.0000)  4 Y 2.76

## Properties
Uncorrected formation energy, eV per atom: -1.100
Space-group type: No. 139

Here is crystalline BaCoTeI2 at its relaxed geometry from the Alexandria database. Energies are from GGA-PBEsol.

abc: 6.5045 6.5045 6.7161
angles: 90.00 90.00 90.00
Last column: nearest neighbours and their distance in Å.
Element x y z (fractional)
Ba (0.0000, 0.0000, 0.0000)  4 I 3.25, 2 Te 3.36
Co (0.5000, 0.5000, 0.5000)  4 Te 4.60, 8 I 4.67
Te (0.0000, 0.0000, 0.5000)  2 Ba 3.36
I (0.0000, 0.5000, 0.0000)  2 Ba 3.25
I (0.5000, 0.0000, 0.0000)  2 Ba 3.25

## Properties
Uncorrected formation energy, eV per atom: 0.550
Space-group type: No. 123